[1]
First-principles (PBE) data for a relaxed structure of Li2MgOs, as listed in Alexandria via LeMat-Bulk.

abc: 2.6423 2.6423 9.1883
angles: 90.00 90.00 90.00
With the nearest neighbours (Å) after each atom.
Element x y z (fractional)
Li 0.0000 0.0000 0.2206  4 Li 2.64, 4 Os 2.76
Li 0.0000 0.0000 0.7794  4 Li 2.64, 4 Os 2.76
Mg 0.5000 0.5000 0.5000  4 Mg 2.64
Os 0.5000 0.5000 0.0000  4 Os 2.64, 8 Li 2.76

Summary:
E_form (eV per atom): 0.254
Total moment (μB/f.u.): 0.000

[2]
First-principles (PBE) data for a relaxed structure of Li2MgOs, as listed in Alexandria via LeMat-Bulk.

abc: 4.7855 4.7855 5.2564
angles: 94.38 94.38 31.01
With the nearest neighbours (Å) after each atom.
Element x y z (fractional)
Li 0.0000 0.0000 0.0000  3 Li 2.56-2.70, 3 Os 2.75-2.82, 2 Mg 2.77
Li 0.2457 0.2457 0.7536  3 Li 2.56-2.70, 1 Mg 2.82
Mg 0.4915 0.4915 0.4656  2 Mg 2.56, 3 Os 2.71-2.78, 3 Li 2.77-2.82
Os 0.7460 0.7460 0.2423  2 Os 2.56, 3 Mg 2.71-2.78, 3 Li 2.75-2.82

Summary:
E_form (eV per atom): 0.206
Total moment (μB/f.u.): 0.000

[3]
First-principles (PBE) data for a relaxed structure of Li2MgOs, as listed in Alexandria via LeMat-Bulk.

abc: 5.0955 5.0955 2.6226
angles: 90.00 90.00 117.35
With the nearest neighbours (Å) after each atom.
Element x y z (fractional)
Li 0.0000 0.5000 0.0000  4 Li 2.62-2.65, 4 Os 2.87, 4 Mg 2.87
Li 0.5000 0.0000 0.0000  4 Li 2.62-2.65, 4 Mg 2.87, 4 Os 2.87
Mg 0.0000 0.0000 0.5000  2 Mg 2.62, 2 Os 2.65, 8 Li 2.87
Os 0.5000 0.5000 0.5000  2 Os 2.62, 2 Mg 2.65, 8 Li 2.87

Summary:
E_form (eV per atom): 0.250
Total moment (μB/f.u.): 0.000

[4]
First-principles (PBE) data for a relaxed structure of Li2MgOs, as listed in Alexandria via LeMat-Bulk.

abc: 2.6985 2.6985 9.0234
angles: 90.00 90.00 90.00
With the nearest neighbours (Å) after each atom.
Element x y z (fractional)
Li 0.0000 0.0000 0.0000  4 Li 2.70, 4 Os 2.77
Li 0.5000 0.5000 0.2781  4 Li 2.70
Mg 0.0000 0.0000 0.5461  4 Mg 2.70, 4 Os 2.83
Os 0.5000 0.5000 0.7782  4 Os 2.70, 4 Li 2.77, 4 Mg 2.83

Summary:
E_form (eV per atom): 0.229
Total moment (μB/f.u.): 0.227